Below is a relaxed structure of ZnCr2SiMo, with properties calculated at the PBE-GGA level.

## Properties
The raw formation energy is 1681 meV/atom. For the density, the calculation gives 5.8 Mg/m³. The symmetry is P4/mmm (123).

a b c (Å): 4.285 4.285 4.550
angles (deg): 90.00 90.00 90.00
Atoms (fractional coordinates):
1 Zn 0.000 0.000 0.000
2 Cr 0.000 0.500 0.000
3 Cr 0.500 0.000 0.000
4 Si 0.500 0.500 0.500
5 Mo 0.000 0.000 0.500